# 1
Na3VFe | PBE-GGA | optimized geometry

abc: 5.391 5.391 5.391
angles: 90.00 90.00 90.00
Space group Pm-3m (No. 221)
Inequivalent atoms, fractional coordinates:
Na (0.000, 0.000, 0.500)
V (0.500, 0.500, 0.500)
Fe (0.000, 0.000, 0.000)

Values from the calculation:
magnetization	7.08	Bohr magnetons per cell
offset from the most stable computed form	0	meV per atom
DFT formation energy	1465.7	meV/atom
E_tot	-2.8420	eV per atom


# 2
NaV2Fe2 | PBE-GGA | optimized geometry

abc: 3.782 3.782 11.189
angles: 90.00 90.00 90.00
Space group I4/mmm (No. 139)
Inequivalent atoms, fractional coordinates:
Na (0.000, 0.000, 0.000)
V (0.000, 0.000, 0.366)
Fe (0.000, 0.500, 0.250)

Values from the calculation:
magnetization	1.58	Bohr magnetons per cell
offset from the most stable computed form	255	meV per atom
DFT formation energy	598.7	meV/atom
E_tot	-6.6976	eV per atom


# 3
NaV3Fe | PBE-GGA | optimized geometry

abc: 4.383 4.383 4.383
angles: 90.00 90.00 90.00
Space group Pm-3m (No. 221)
Inequivalent atoms, fractional coordinates:
Na (0.000, 0.000, 0.000)
V (0.000, 0.000, 0.500)
Fe (0.500, 0.500, 0.500)

Values from the calculation:
magnetization	4.60	Bohr magnetons per cell
offset from the most stable computed form	1458	meV per atom
DFT formation energy	2371.6	meV/atom
E_tot	-5.0559	eV per atom


# 4
NaV3Fe | PBE-GGA | optimized geometry

abc: 4.408 4.408 4.408
angles: 90.00 90.00 90.00
Space group Pm-3m (No. 221)
Inequivalent atoms, fractional coordinates:
Na (0.000, 0.000, 0.000)
V (0.000, 0.500, 0.500)
Fe (0.500, 0.500, 0.500)

Values from the calculation:
magnetization	0.00	Bohr magnetons per cell
offset from the most stable computed form	0	meV per atom
DFT formation energy	914.0	meV/atom
E_tot	-6.5136	eV per atom


# 5
Na2VFe2 | PBE-GGA | optimized geometry

abc: 8.175 8.175 2.522
angles: 90.00 90.00 90.00
Space group P4/mbm (No. 127)
Inequivalent atoms, fractional coordinates:
Na (0.111, 0.389, 0.000)
V (0.000, 0.000, 0.000)
Fe (0.192, 0.692, 0.500)

Values from the calculation:
magnetization	8.64	Bohr magnetons per cell
DFT formation energy	1186.7	meV/atom
E_tot	-4.5497	eV per atom


# 6
NaV2Fe2 | PBE-GGA | optimized geometry

abc: 7.433 7.433 2.530
angles: 90.00 90.00 90.00
Space group P4/mbm (No. 127)
Inequivalent atoms, fractional coordinates:
Na (0.000, 0.000, 0.000)
V (0.142, 0.358, 0.000)
Fe (0.148, 0.648, 0.500)

Values from the calculation:
magnetization	1.39	Bohr magnetons per cell
offset from the most stable computed form	9	meV per atom
DFT formation energy	352.8	meV/atom
E_tot	-6.9435	eV per atom


# 7
NaV2Fe | PBE-GGA | optimized geometry

abc: 4.465 4.465 16.289
angles: 90.00 90.00 90.00
Space group I4_1/amd (No. 141, origin choice 2)
Inequivalent atoms, fractional coordinates:
Na (0.000, 0.250, 0.375)
V (0.000, 0.000, 0.000)
Fe (0.000, 0.250, 0.875)

Values from the calculation:
magnetization	1.64	Bohr magnetons per cell
offset from the most stable computed form	527	meV per atom
DFT formation energy	1366.7	meV/atom
E_tot	-5.6380	eV per atom


# 8
NaV2FeW | PBE-GGA | optimized geometry

abc: 4.359 4.359 4.106
angles: 90.00 90.00 90.00
Space group P4/mmm (No. 123)
Inequivalent atoms, fractional coordinates:
Na (0.000, 0.000, 0.000)
V (0.000, 0.500, 0.000)
Fe (0.000, 0.000, 0.500)
W (0.500, 0.500, 0.500)

Values from the calculation:
magnetization	3.02	Bohr magnetons per cell
DFT formation energy	2298.7	meV/atom
E_tot	-5.8958	eV per atom


# 9
Na2FeW | PBE-GGA | optimized geometry

abc: 6.532 6.532 6.532
angles: 90.00 90.00 90.00
Space group Fm-3m (No. 225)
Inequivalent atoms, fractional coordinates:
Na (0.250, 0.250, 0.250)
Fe (0.000, 0.000, 0.000)
W (0.000, 0.000, 0.500)

Values from the calculation:
magnetization	0.00	Bohr magnetons per cell
DFT formation energy	2157.2	meV/atom
E_tot	-3.8562	eV per atom


# 10
NaFe3W | PBE-GGA | optimized geometry

abc: 4.588 4.588 4.588
angles: 90.00 90.00 90.00
Space group Pm-3m (No. 221)
Inequivalent atoms, fractional coordinates:
Na (0.000, 0.000, 0.000)
Fe (0.000, 0.500, 0.500)
W (0.500, 0.500, 0.500)

Values from the calculation:
magnetization	4.92	Bohr magnetons per cell
offset from the most stable computed form	0	meV per atom
DFT formation energy	1367.1	meV/atom
E_tot	-6.5650	eV per atom


# 11
NaY2Fe | PBE-GGA | optimized geometry

abc: 10.894 10.894 10.894
angles: 90.00 90.00 90.00
Space group Fd-3m (No. 227, origin choice 2)
Inequivalent atoms, fractional coordinates:
Na (0.125, 0.125, 0.125)
Y (0.000, 0.000, 0.500)
Fe (0.125, 0.125, 0.625)

Values from the calculation:
magnetization	0.00	Bohr magnetons per cell
offset from the most stable computed form	307	meV per atom
DFT formation energy	697.6	meV/atom
E_tot	-4.9799	eV per atom


# 12
Na3YFe | PBE-GGA | optimized geometry

abc: 5.334 5.334 5.334
angles: 90.00 90.00 90.00
Space group Pm-3m (No. 221)
Inequivalent atoms, fractional coordinates:
Na (0.000, 0.000, 0.500)
Y (0.500, 0.500, 0.500)
Fe (0.000, 0.000, 0.000)

Values from the calculation:
magnetization	1.93	Bohr magnetons per cell
DFT formation energy	962.9	meV/atom
E_tot	-2.8139	eV per atom